Entry 1:
Density functional theory data (PBE) for a relaxed structure of In2GaF6.

The structure in CIF format:
```
data_In2GaF6
_cell_length_a 9.9146
_cell_length_b 16.2318
_cell_length_c 4.4845
_cell_angle_alpha 90.00
_cell_angle_beta 105.73
_cell_angle_gamma 90.00
_symmetry_space_group_name_H-M 'C 1 2/c 1'
_symmetry_Int_Tables_number 15
_symmetry_space_group_name_Hall '-C 2yc'
loop_
_atom_site_label
_atom_site_fract_x
_atom_site_fract_y
_atom_site_fract_z
In1 0.1563 0.0904 0.2932
Ga1 0.0000 0.3031 0.7500
F1 0.1077 0.2395 0.0495
F2 0.1128 0.3690 0.5908
F3 0.1942 0.0529 0.8306
```

Output
Final energy, eV/atom: -4.388
V, Å³/cell: 695
Total moment, μB/f.u.: 0.0
Fermi-level density of states, states/eV/f.u.: 1.9
Uncorrected formation energy, eV per atom: -2.196

Entry 2:
Density functional theory data (PBE) for a relaxed structure of CaIrAu2.

The structure in CIF format:
```
data_CaIrAu2
_cell_length_a 3.0081
_cell_length_b 3.0081
_cell_length_c 8.3817
_cell_angle_alpha 90.00
_cell_angle_beta 90.00
_cell_angle_gamma 90.00
_symmetry_space_group_name_H-M 'P 4 m m'
_symmetry_Int_Tables_number 99
_symmetry_space_group_name_Hall 'P 4 -2'
loop_
_atom_site_label
_atom_site_fract_x
_atom_site_fract_y
_atom_site_fract_z
Ca1 0.0000 0.0000 0.0000
Ir1 0.5000 0.5000 0.2460
Au1 0.0000 0.0000 0.4722
Au2 0.5000 0.5000 0.7196
```

Output
Final energy, eV/atom: -4.350
V, Å³/cell: 76
Total moment, μB/f.u.: 0.0
Fermi-level density of states, states/eV/f.u.: 3.1
E_form, kJ/mol of atoms: 0.4

Entry 3:
Density functional theory data (PBE) for a relaxed structure of Sm2MgPbC.

The structure in CIF format:
```
data_Sm2MgPbC
_cell_length_a 5.1019
_cell_length_b 5.1019
_cell_length_c 4.4752
_cell_angle_alpha 90.00
_cell_angle_beta 90.00
_cell_angle_gamma 90.00
_symmetry_space_group_name_H-M 'P 4/m m m'
_symmetry_Int_Tables_number 123
_symmetry_space_group_name_Hall '-P 4 2'
loop_
_atom_site_label
_atom_site_fract_x
_atom_site_fract_y
_atom_site_fract_z
Sm1 0.0000 0.5000 0.0000
Mg1 0.0000 0.0000 0.5000
Pb1 0.5000 0.5000 0.5000
C1 0.0000 0.0000 0.0000
```

Output
Final energy, eV/atom: -5.147
V, Å³/cell: 116
Total moment, μB/f.u.: 0.0
Fermi-level density of states, states/eV/f.u.: 0.8
E_form, kJ/mol of atoms: -34.2

Entry 4:
Density functional theory data (PBE) for a relaxed structure of Li2CeI8.

The structure in CIF format:
```
data_Li2CeI8
_cell_length_a 12.4610
_cell_length_b 13.4756
_cell_length_c 7.0785
_cell_angle_alpha 90.00
_cell_angle_beta 109.48
_cell_angle_gamma 90.00
_symmetry_space_group_name_H-M 'C 1 2/m 1'
_symmetry_Int_Tables_number 12
_symmetry_space_group_name_Hall '-C 2y'
loop_
_atom_site_label
_atom_site_fract_x
_atom_site_fract_y
_atom_site_fract_z
Li1 0.2256 0.0000 0.2469
Ce1 0.0000 0.0000 0.5000
I1 0.0781 0.5000 0.3948
I2 0.0977 0.1577 0.3039
I3 0.2318 0.0000 0.8514
```

Output
Final energy, eV/atom: -2.944
V, Å³/cell: 1121
Total moment, μB/f.u.: 0.0
Uncorrected formation energy, eV per atom: -0.930

Entry 5:
Density functional theory data (PBE) for a relaxed structure of CsPuMg2Br8.

The structure in CIF format:
```
data_CsPuMg2Br8
_cell_length_a 7.0028
_cell_length_b 7.2661
_cell_length_c 9.9709
_cell_angle_alpha 72.23
_cell_angle_beta 74.59
_cell_angle_gamma 73.30
_symmetry_space_group_name_H-M 'P -1'
_symmetry_Int_Tables_number 2
_symmetry_space_group_name_Hall '-P 1'
loop_
_atom_site_label
_atom_site_fract_x
_atom_site_fract_y
_atom_site_fract_z
Cs1 0.0000 0.0000 0.0000
Pu1 0.0000 0.0000 0.5000
Mg1 0.4611 0.4529 0.2103
Br1 0.1757 0.6983 0.7335
Br2 0.2671 0.7788 0.2983
Br3 0.2796 0.2417 0.4529
Br4 0.3939 0.2927 0.0354
```

Output
Final energy, eV/atom: -4.135
V, Å³/cell: 454
Total moment, μB/f.u.: 5.0
Fermi-level density of states, states/eV/f.u.: 9.0
Uncorrected formation energy, eV per atom: -1.489

Entry 6:
Density functional theory data (PBE) for a relaxed structure of Tb9Pb3C2.

The structure in CIF format:
```
data_Tb9Pb3C2
_cell_length_a 6.9815
_cell_length_b 6.9815
_cell_length_c 8.5592
_cell_angle_alpha 90.00
_cell_angle_beta 90.00
_cell_angle_gamma 120.00
_symmetry_space_group_name_H-M 'P -3 m 1'
_symmetry_Int_Tables_number 164
_symmetry_space_group_name_Hall '-P 3 2"'
loop_
_atom_site_label
_atom_site_fract_x
_atom_site_fract_y
_atom_site_fract_z
Tb1 0.0000 0.5000 0.0000
Tb2 0.1699 0.3398 0.6697
Pb1 0.0000 0.0000 0.0000
Pb2 0.3333 0.6667 0.3328
C1 0.3333 0.6667 0.8290
```

Output
Final energy, eV/atom: -5.539
V, Å³/cell: 361
Total moment, μB/f.u.: 0.0
Fermi-level density of states, states/eV/f.u.: 11.1
E_form, kJ/mol of atoms: -43.4

Entry 7:
Density functional theory data (PBE) for a relaxed structure of La2PPd6.

The structure in CIF format:
```
data_La2PPd6
_cell_length_a 5.8860
_cell_length_b 5.8860
_cell_length_c 16.9925
_cell_angle_alpha 90.00
_cell_angle_beta 90.00
_cell_angle_gamma 120.00
_symmetry_space_group_name_H-M 'R -3 m'
_symmetry_Int_Tables_number 166
_symmetry_space_group_name_Hall '-R 3 2"'
loop_
_atom_site_label
_atom_site_fract_x
_atom_site_fract_y
_atom_site_fract_z
La1 0.0000 0.0000 0.2343
P1 0.0000 0.0000 0.5000
Pd1 0.0066 0.5033 0.7339
```

Output
Final energy, eV/atom: -6.006
V, Å³/cell: 510
Total moment, μB/f.u.: 0.0
Fermi-level density of states, states/eV/f.u.: 6.2
E_form, kJ/mol of atoms: -81.8

Entry 8:
Density functional theory data (PBE) for a relaxed structure of AlCdOs.

The structure in CIF format:
```
data_AlCdOs
_cell_length_a 3.0428
_cell_length_b 4.8324
_cell_length_c 13.7822
_cell_angle_alpha 90.00
_cell_angle_beta 90.00
_cell_angle_gamma 90.00
_symmetry_space_group_name_H-M 'F m m 2'
_symmetry_Int_Tables_number 42
_symmetry_space_group_name_Hall 'F 2 -2'
loop_
_atom_site_label
_atom_site_fract_x
_atom_site_fract_y
_atom_site_fract_z
Al1 0.0000 0.0000 0.0000
Cd1 0.0000 0.0000 0.6829
Os1 0.0000 0.0000 0.3601
```

Output
Final energy, eV/atom: -4.972
V, Å³/cell: 203
Total moment, μB/f.u.: 0.0
Fermi-level density of states, states/eV/f.u.: 3.0
E_form, kJ/mol of atoms: 31.2

What is the V in the fifth record? 454 Å³/cell

The highest final energy belongs to which entry? Li2CeI8